# 1
# Cs3RbMn | Alexandria | PBE-GGA | optimized geometry
# - Volume: 399.9 Å³/cell
# - Energy of formation from the pure elements: 0.980 eV/atom
data_Cs3RbMn
_chemical_formula_sum 'Cs3 Rb1 Mn1'
_cell_length_a 7.3675
_cell_length_b 7.3675
_cell_length_c 7.3675
_cell_angle_alpha 90.00
_cell_angle_beta 90.00
_cell_angle_gamma 90.00
_symmetry_space_group_name_H-M 'P m -3 m'
_symmetry_Int_Tables_number 221
_symmetry_space_group_name_Hall '-P 4 2 3'
loop_
_atom_site_label
_atom_site_type_symbol
_atom_site_fract_x
_atom_site_fract_y
_atom_site_fract_z
_atom_site_occupancy
Cs1 Cs 0.0000 0.0000 0.5000 1
Rb1 Rb 0.0000 0.0000 0.0000 1
Mn1 Mn 0.5000 0.5000 0.5000 1



# 2
# Li3AlF6 | Alexandria | PBE-GGA | optimized geometry
# - Energy relative to the elements, uncorrected: -3.06 eV per atom
# - Excess energy over the best structure of this formula in the dataset: 0.165 eV/atom
# - Volume: 423.8 Å³/cell
data_Li3AlF6
_chemical_formula_sum 'Li12 Al4 F24'
_cell_length_a 7.5115
_cell_length_b 7.5115
_cell_length_c 7.5115
_cell_angle_alpha 90.00
_cell_angle_beta 90.00
_cell_angle_gamma 90.00
_symmetry_space_group_name_H-M 'F m -3 m'
_symmetry_Int_Tables_number 225
_symmetry_space_group_name_Hall '-F 4 2 3'
loop_
_atom_site_label
_atom_site_type_symbol
_atom_site_fract_x
_atom_site_fract_y
_atom_site_fract_z
_atom_site_occupancy
Li1 Li 0.0000 0.0000 0.0000 1
Li2 Li 0.2500 0.2500 0.2500 1
Al1 Al 0.0000 0.0000 0.5000 1
F1 F 0.0000 0.0000 0.2595 1



# 3
# GaSnAu | Alexandria | PBE-GGA | optimized geometry
# - Volume: 138.6 Å³/cell
# - Energy of formation from the pure elements: -0.169 eV/atom
data_GaSnAu
_chemical_formula_sum 'Ga2 Sn2 Au2'
_cell_length_a 4.6092
_cell_length_b 4.6092
_cell_length_c 6.5242
_cell_angle_alpha 90.00
_cell_angle_beta 90.00
_cell_angle_gamma 90.00
_symmetry_space_group_name_H-M 'P 4/n m m'
_symmetry_Int_Tables_number 129
loop_
_symmetry_equiv_pos_as_xyz
'x,y,z'
'-x,-y,-z'
'-y+1/2,x,z'
'y+1/2,-x,-z'
'-x+1/2,-y+1/2,z'
'x+1/2,y+1/2,-z'
'y,-x+1/2,z'
'-y,x+1/2,-z'
'x+1/2,-y,-z'
'-x+1/2,y,z'
'-y,-x,-z'
'y,x,z'
'-x,y+1/2,-z'
'x,-y+1/2,z'
'y+1/2,x+1/2,-z'
'-y+1/2,-x+1/2,z'
loop_
_atom_site_label
_atom_site_type_symbol
_atom_site_fract_x
_atom_site_fract_y
_atom_site_fract_z
_atom_site_occupancy
Ga1 Ga 0.2500 0.7500 0.0000 1
Sn1 Sn 0.2500 0.7500 0.5000 1
Au1 Au 0.2500 0.2500 0.2165 1



# 4
# Ce2NiGe | Alexandria | PBE-GGA | optimized geometry
# - Volume: 83.1 Å³/cell
# - Energy of formation from the pure elements: -0.429 eV/atom
data_Ce2NiGe
_chemical_formula_sum 'Ce2 Ni1 Ge1'
_cell_length_a 3.2036
_cell_length_b 3.2036
_cell_length_c 8.0983
_cell_angle_alpha 90.00
_cell_angle_beta 90.00
_cell_angle_gamma 90.00
_symmetry_space_group_name_H-M 'P 4/m m m'
_symmetry_Int_Tables_number 123
_symmetry_space_group_name_Hall '-P 4 2'
loop_
_atom_site_label
_atom_site_type_symbol
_atom_site_fract_x
_atom_site_fract_y
_atom_site_fract_z
_atom_site_occupancy
Ce1 Ce 0.0000 0.0000 0.2305 1
Ni1 Ni 0.5000 0.5000 0.0000 1
Ge1 Ge 0.5000 0.5000 0.5000 1



# 5
# Li2TlSe | Alexandria | PBE-GGA | optimized geometry
# - Energy relative to the elements, uncorrected: -0.71 eV per atom
# - Volume: 180.6 Å³/cell
data_Li2TlSe
_chemical_formula_sum 'Li4 Tl2 Se2'
_cell_length_a 7.1039
_cell_length_b 3.9638
_cell_length_c 6.6654
_cell_angle_alpha 90.00
_cell_angle_beta 105.78
_cell_angle_gamma 90.00
_symmetry_space_group_name_H-M 'C 1 2/m 1'
_symmetry_Int_Tables_number 12
loop_
_symmetry_equiv_pos_as_xyz
'x,y,z'
'-x,-y,-z'
'-x,y,-z'
'x,-y,z'
'x+1/2,y+1/2,z'
'-x+1/2,-y+1/2,-z'
'-x+1/2,y+1/2,-z'
'x+1/2,-y+1/2,z'
loop_
_atom_site_label
_atom_site_type_symbol
_atom_site_fract_x
_atom_site_fract_y
_atom_site_fract_z
_atom_site_occupancy
Li1 Li 0.2082 0.0000 0.1424 1
Tl1 Tl 0.0000 0.0000 0.5000 1
Se1 Se 0.0000 0.5000 0.0000 1



- Which formula does entry 5 have?
  Li2TlSe